Material: SrZr2Sn2
Method: DFT, PBE
State: optimized geometry

Calculated values
- theoretical density (g/cm3) = 6.4
- DOS at the Fermi energy (states/eV per cell) = 9.5
- uncorrected energy (eV per atom) = -5.64
- space-group type = P4/mbm

a = 8.291 Å, b = 8.291 Å, c = 3.808 Å
α = 90.00°, β = 90.00°, γ = 90.00°
Element x y z (fractional)
Zr 0.159 0.659 0.500
Zr 0.841 0.341 0.500
Zr 0.659 0.841 0.500
Zr 0.341 0.159 0.500
Sn 0.866 0.634 0.000
Sn 0.366 0.866 0.000
Sn 0.134 0.366 0.000
Sn 0.634 0.134 0.000
Sr 0.000 0.000 0.000
Sr 0.500 0.500 0.000

***

Material: CsRhO4
Method: DFT, PBE
State: optimized geometry

Calculated values
- theoretical density (g/cm3) = 3.8
- DOS at the Fermi energy (states/eV per cell) = 0.7
- uncorrected energy (eV per atom) = -5.23
- space-group type = C2/c

a = 6.716 Å, b = 7.582 Å, c = 6.550 Å
α = 54.64°, β = 99.19°, γ = 106.03°
Site moments in Bohr magnetons follow the coordinates.
Element x y z (fractional)
O 0.362 0.172 0.087  -0.04
O 0.803 0.891 0.405  0.06
O 0.638 0.828 0.913  -0.04
O 0.197 0.109 0.595  0.06
O 0.138 0.742 0.087  -0.04
O 0.862 0.258 0.913  -0.04
O 0.697 0.704 0.405  0.06
O 0.303 0.296 0.595  0.06
Cs 0.750 0.343 0.313  0.00
Cs 0.250 0.657 0.687  0.00
Rh 0.250 0.026 0.947  -0.07
Rh 0.750 0.974 0.053  -0.07

***

Material: NdHoMg
Method: DFT, PBE
State: optimized geometry

Calculated values
- theoretical density (g/cm3) = 6.2
- DOS at the Fermi energy (states/eV per cell) = 4.3
- uncorrected energy (eV per atom) = -3.69
- space-group type = I4mm

a = 3.729 Å, b = 3.729 Å, c = 6.984 Å
α = 105.48°, β = 105.48°, γ = 90.00°
Site moments in Bohr magnetons follow the coordinates.
Element x y z (fractional)
Ho 0.323 0.323 0.645  0.07
Nd 0.007 0.007 0.013  0.04
Mg 0.671 0.671 0.341  0.00

***

Material: Pr3Dy3YSe8
Method: DFT, PBE
State: optimized geometry

Calculated values
- theoretical density (g/cm3) = 6.7
- DOS at the Fermi energy (states/eV per cell) = 6.9
- uncorrected energy (eV per atom) = -6.02
- space-group type = R-3m

a = 8.261 Å, b = 8.261 Å, c = 8.353 Å
α = 119.64°, β = 90.00°, γ = 120.00°
Element x y z (fractional)
Se 0.751 0.011 0.261
Se 0.745 0.489 0.734
Se 0.249 0.989 0.739
Se 0.751 0.501 0.262
Se 0.740 0.989 0.739
Se 0.260 0.011 0.261
Se 0.255 0.511 0.266
Se 0.249 0.499 0.738
Pr 0.500 0.500 0.000
Pr 0.000 0.000 0.000
Pr 0.000 0.500 0.000
Dy 0.500 0.500 0.500
Dy 0.000 0.500 0.500
Dy 0.500 0.000 0.500
Y 0.000 0.000 0.500

***

Material: Li2RuO4
Method: DFT, PBE
State: optimized geometry

Calculated values
- theoretical density (g/cm3) = 3.8
- DOS at the Fermi energy (states/eV per cell) = 4.5
- uncorrected energy (eV per atom) = -5.86
- space-group type = I4/mmm

a = 3.925 Å, b = 3.925 Å, c = 5.800 Å
α = 70.22°, β = 70.22°, γ = 90.00°
Site moments in Bohr magnetons follow the coordinates.
Element x y z (fractional)
Li 0.635 0.635 0.730  0.00
Li 0.365 0.365 0.270  0.00
O 0.500 0.000 0.000  0.11
O 0.000 0.500 0.000  0.11
O 0.180 0.180 0.641  0.10
O 0.820 0.820 0.359  0.10
Ru 0.000 0.000 0.000  0.79

***

Material: Pr3TlBr3
Method: DFT, PBE
State: optimized geometry

Calculated values
- theoretical density (g/cm3) = 6.1
- DOS at the Fermi energy (states/eV per cell) = 2.1
- uncorrected energy (eV per atom) = -4.31
- space-group type = Pm-3m

a = 6.196 Å, b = 6.196 Å, c = 6.196 Å
α = 90.00°, β = 90.00°, γ = 90.00°
Element x y z (fractional)
Br 0.000 0.000 0.500
Br 0.500 0.000 0.000
Br 0.000 0.500 0.000
Pr 0.500 0.000 0.500
Pr 0.000 0.500 0.500
Pr 0.500 0.500 0.000
Tl 0.500 0.500 0.500

***

Material: Li4Rh
Method: DFT, PBE
State: optimized geometry

Calculated values
- theoretical density (g/cm3) = 3.1
- DOS at the Fermi energy (states/eV per cell) = 2.7
- uncorrected energy (eV per atom) = -2.80
- space-group type = I4/mmm

a = 6.191 Å, b = 6.191 Å, c = 6.191 Å
α = 147.04°, β = 147.04°, γ = 47.30°
Element x y z (fractional)
Rh 0.000 0.000 0.000
Li 0.589 0.589 0.000
Li 0.411 0.411 0.000
Li 0.250 0.750 0.500
Li 0.750 0.250 0.500

***

Material: Tl2In15Hg2
Method: DFT, PBE
State: optimized geometry

Calculated values
- theoretical density (g/cm3) = 7.6
- DOS at the Fermi energy (states/eV per cell) = 7.6
- uncorrected energy (eV per atom) = -2.37
- space-group type = R-3m

a = 8.403 Å, b = 8.403 Å, c = 8.403 Å
α = 76.78°, β = 76.78°, γ = 76.78°
Element x y z (fractional)
In 0.290 0.710 0.000
In 0.000 0.000 0.500
In 0.710 0.000 0.290
In 0.290 0.000 0.710
In 0.594 0.594 0.167
In 0.000 0.290 0.710
In 0.167 0.594 0.594
In 0.406 0.406 0.833
In 0.710 0.290 0.000
In 0.406 0.833 0.406
In 0.833 0.406 0.406
In 0.000 0.710 0.290
In 0.500 0.000 0.000
In 0.000 0.500 0.000
In 0.594 0.167 0.594
Hg 0.319 0.319 0.319
Hg 0.681 0.681 0.681
Tl 0.889 0.889 0.889
Tl 0.111 0.111 0.111